# CaScTe2 PBE-GGA optimized geometry
# Formation energy without anion corrections in eV per atom: -1.350
# Mass density in g cm⁻³: 4.94
data_CaScTe2
_space_group_name_H-M_alt 'C 1 2/m 1'
_space_group_IT_number 12
_space_group_name_Hall '-C 2y'
_cell_length_a 7.431
_cell_length_b 4.287
_cell_length_c 7.593
_cell_angle_alpha 90.00
_cell_angle_beta 108.95
_cell_angle_gamma 90.00
loop_
_atom_site_label
_atom_site_fract_x
_atom_site_fract_y
_atom_site_fract_z
Ca1 0.000 0.000 0.000
Sc1 0.000 0.500 0.500
Te1 0.244 0.000 0.732



# CaTbSbO PBE-GGA optimized geometry
# Formation energy without anion corrections in eV per atom: -2.052
# Mass density in g cm⁻³: 6.08
data_CaTbSbO
_space_group_name_H-M_alt 'P 4/n m m'
_space_group_IT_number 129
_cell_length_a 4.567
_cell_length_b 4.567
_cell_length_c 8.816
_cell_angle_alpha 90.00
_cell_angle_beta 90.00
_cell_angle_gamma 90.00
loop_
_space_group_symop_operation_xyz
'x,y,z'
'-x,-y,-z'
'-y+1/2,x,z'
'y+1/2,-x,-z'
'-x+1/2,-y+1/2,z'
'x+1/2,y+1/2,-z'
'y,-x+1/2,z'
'-y,x+1/2,-z'
'x+1/2,-y,-z'
'-x+1/2,y,z'
'-y,-x,-z'
'y,x,z'
'-x,y+1/2,-z'
'x,-y+1/2,z'
'y+1/2,x+1/2,-z'
'-y+1/2,-x+1/2,z'
loop_
_atom_site_label
_atom_site_fract_x
_atom_site_fract_y
_atom_site_fract_z
Ca1 0.250 0.250 0.161
Tb1 0.250 0.750 0.500
Sb1 0.250 0.250 0.790
O1 0.250 0.250 0.428



# TlTcAs2 PBE-GGA optimized geometry
# Mass density in g cm⁻³: 8.32
# Formation energy in meV per atom: -6
data_TlTcAs2
_space_group_name_H-M_alt 'P 1'
_space_group_IT_number 1
_space_group_name_Hall 'P 1'
_cell_length_a 3.217
_cell_length_b 4.588
_cell_length_c 6.791
_cell_angle_alpha 75.04
_cell_angle_beta 89.99
_cell_angle_gamma 69.51
loop_
_atom_site_label
_atom_site_fract_x
_atom_site_fract_y
_atom_site_fract_z
Tl1 0.000 0.000 0.000
Tc1 0.869 0.251 0.565
As1 0.164 0.663 0.599
As2 0.319 0.352 0.275



# Ag2P2S5 PBE-GGA optimized geometry
# Formation energy without anion corrections in eV per atom: 0.080
# Mass density in g cm⁻³: 4.02
data_Ag2P2S5
_space_group_name_H-M_alt 'C 1 2/m 1'
_space_group_IT_number 12
_space_group_name_Hall '-C 2y'
_cell_length_a 13.075
_cell_length_b 4.699
_cell_length_c 5.971
_cell_angle_alpha 90.00
_cell_angle_beta 99.26
_cell_angle_gamma 90.00
loop_
_atom_site_label
_atom_site_fract_x
_atom_site_fract_y
_atom_site_fract_z
Ag1 0.097 0.000 0.387
P1 0.160 0.500 0.888
S1 0.000 0.500 0.000
S2 0.141 0.500 0.541
S3 0.171 0.000 0.985